[1]
Density functional theory data (PBE) for crystalline Ag2SbS3 at its relaxed geometry.

Values from the calculation:
ΔE to the lowest computed polymorph in meV/atom: 0
Density in g cm⁻³: 4.78
Space group: Imm2 (44)

Cell: 6.9847 6.9847 6.9847 Å, 141.76 61.53 133.72°
Fractional coordinates of all 6 atoms:
Ag: 0.1642 0.0000 0.1642
Ag: 0.8358 0.0000 0.8358
Sb: 0.4789 0.9789 0.5000
S: 0.0545 0.7159 0.3386
S: 0.3773 0.7159 0.6614
S: 0.6820 0.6820 0.0000



[2]
Density functional theory data (PBE) for crystalline Ag4SbS4 at its relaxed geometry.

Values from the calculation:
ΔE to the lowest computed polymorph in meV/atom: 0
Density in g cm⁻³: 5.29
Space group: Cmcm (63)

Cell: 7.0026 7.0026 8.8123 Å, 90.00 90.00 82.11°
Fractional coordinates of all 18 atoms:
Ag: 0.1006 0.6121 0.7500
Ag: 0.3219 0.3219 0.0000
Ag: 0.3219 0.3219 0.5000
Ag: 0.3879 0.8994 0.7500
Ag: 0.6121 0.1006 0.2500
Ag: 0.6781 0.6781 0.0000
Ag: 0.6781 0.6781 0.5000
Ag: 0.8994 0.3879 0.2500
Sb: 0.1772 0.8228 0.2500
Sb: 0.8228 0.1772 0.7500
S: 0.1719 0.2263 0.7500
S: 0.2263 0.1719 0.2500
S: 0.2966 0.7034 0.5105
S: 0.2966 0.7034 0.9895
S: 0.7034 0.2966 0.0105
S: 0.7034 0.2966 0.4895
S: 0.7737 0.8281 0.7500
S: 0.8281 0.7737 0.2500